The following is a PBE calculation of a relaxed TcHgSb2Cl crystal, from Alexandria via LeMat-Bulk.

The structure in CIF format:
```
data_TcHgSb2Cl
_chemical_formula_sum 'Tc1 Hg1 Sb2 Cl1'
_space_group_name_H-M_alt 'P 4/m m m'
_space_group_IT_number 123
_space_group_name_Hall '-P 4 2'
_cell_length_a 5.1436
_cell_length_b 5.1436
_cell_length_c 5.1231
_cell_angle_alpha 90.00
_cell_angle_beta 90.00
_cell_angle_gamma 90.00
loop_
_atom_site_label
_atom_site_type_symbol
_atom_site_fract_x
_atom_site_fract_y
_atom_site_fract_z
Tc1 Tc 0.0000 0.0000 0.0000
Hg1 Hg 0.5000 0.5000 0.5000
Sb1 Sb 0.0000 0.5000 0.0000
Cl1 Cl 0.0000 0.0000 0.5000
```

Computed properties:
- formation energy from raw total energies (eV/atom) = 0.24
- VASP energy (eV per atom) = -3.91